# 1
Below is PrMg2Ge2Ir after structural relaxation, with properties calculated at the PBE level.

Cell lengths 4.197, 4.197, 16.691 Å; angles 90.00, 90.00, 90.00 degrees
Space group I4/mmm (No. 139)
Unique sites:
Pr1 0.000 0.000 0.000
Mg1 0.000 0.500 0.250
Ge1 0.000 0.000 0.357
Ir1 0.000 0.000 0.500

Summary:
For the formation energy, the calculation gives -0.22 eV/atom. Its uncorrected energy is -4.56 eV/atom. The value obtained for the total magnetic moment is 0.000 μB/f.u.

***

# 2
Below is Pr2MgGe4Ir3 after structural relaxation, with properties calculated at the PBE level.

Cell lengths 4.322, 4.322, 10.449 Å; angles 90.00, 90.00, 90.00 degrees
Space group P-4m2 (No. 115)
Unique sites:
Pr1 0.000 0.500 0.237
Mg1 0.000 0.000 0.500
Ge1 0.000 0.000 0.000
Ge2 0.000 0.500 0.644
Ge3 0.500 0.500 0.000
Ir1 0.000 0.500 0.880
Ir2 0.500 0.500 0.500

Summary:
For the formation energy, the calculation gives -0.70 eV/atom. Its uncorrected energy is -6.32 eV/atom. The value obtained for the total magnetic moment is 0.000 μB/f.u.

***

# 3
Below is PrMgGe2Ir after structural relaxation, with properties calculated at the PBE level.

Cell lengths 4.165, 4.165, 11.263 Å; angles 90.00, 90.00, 90.00 degrees
Space group I-4m2 (No. 119)
Unique sites:
Pr1 0.000 0.000 0.000
Mg1 0.000 0.500 0.750
Ge1 0.000 0.000 0.387
Ir1 0.000 0.500 0.250

Summary:
For the formation energy, the calculation gives -0.65 eV/atom. Its uncorrected energy is -5.55 eV/atom. The value obtained for the total magnetic moment is 0.000 μB/f.u.

***

# 4
Below is MgGeIr2Pt after structural relaxation, with properties calculated at the PBE level.

Cell lengths 4.979, 4.979, 4.566 Å; angles 90.00, 90.00, 90.00 degrees
Space group P4/mmm (No. 123)
Unique sites:
Mg1 0.000 0.000 0.000
Ge1 0.500 0.500 0.000
Ir1 0.000 0.500 0.500
Pt1 0.500 0.500 0.500

Summary:
For the formation energy, the calculation gives 1.09 eV/atom. Its uncorrected energy is -4.90 eV/atom. The value obtained for the total magnetic moment is 2.237 μB/f.u.

***

# 5
Below is MgGe2IrRu after structural relaxation, with properties calculated at the PBE level.

Cell lengths 4.622, 4.622, 4.851 Å; angles 90.00, 90.00, 90.00 degrees
Space group P4/mmm (No. 123)
Unique sites:
Mg1 0.000 0.000 0.000
Ge1 0.000 0.500 0.500
Ir1 0.500 0.500 0.000
Ru1 0.000 0.000 0.500

Summary:
For the formation energy, the calculation gives 0.69 eV/atom. Its uncorrected energy is -5.10 eV/atom. The value obtained for the total magnetic moment is 0.001 μB/f.u.

***

# 6
Below is Sm2MgGe3Ir4 after structural relaxation, with properties calculated at the PBE level.

Cell lengths 4.162, 4.162, 10.791 Å; angles 90.00, 90.00, 90.00 degrees
Space group P-4m2 (No. 115)
Unique sites:
Sm1 0.000 0.500 0.242
Mg1 0.000 0.000 0.500
Ge1 0.000 0.500 0.873
Ge2 0.500 0.500 0.500
Ir1 0.000 0.000 0.000
Ir2 0.000 0.500 0.645
Ir3 0.500 0.500 0.000

Summary:
For the formation energy, the calculation gives -0.73 eV/atom. Its uncorrected energy is -6.76 eV/atom. The value obtained for the total magnetic moment is 0.000 μB/f.u.

***

# 7
Below is SmMg2Ge2Ir after structural relaxation, with properties calculated at the PBE level.

Cell lengths 5.113, 5.113, 10.843 Å; angles 90.00, 90.00, 90.00 degrees
Space group I4/mmm (No. 139)
Unique sites:
Sm1 0.000 0.000 0.000
Mg1 0.000 0.500 0.250
Ge1 0.000 0.000 0.284
Ir1 0.000 0.000 0.500

Summary:
For the formation energy, the calculation gives 0.07 eV/atom. Its uncorrected energy is -4.27 eV/atom. The value obtained for the total magnetic moment is 0.000 μB/f.u.

***

# 8
Below is SmMgGe2Ir after structural relaxation, with properties calculated at the PBE level.

Cell lengths 4.111, 4.111, 11.249 Å; angles 90.00, 90.00, 90.00 degrees
Space group I-4m2 (No. 119)
Unique sites:
Sm1 0.000 0.000 0.000
Mg1 0.000 0.500 0.250
Ge1 0.000 0.000 0.389
Ir1 0.000 0.500 0.750

Summary:
For the formation energy, the calculation gives -0.65 eV/atom. Its uncorrected energy is -5.54 eV/atom. The value obtained for the total magnetic moment is 0.000 μB/f.u.

***

# 9
Below is Sr2MgGe3Ir4 after structural relaxation, with properties calculated at the PBE level.

Cell lengths 4.260, 4.260, 10.715 Å; angles 90.00, 90.00, 90.00 degrees
Space group P-4m2 (No. 115)
Unique sites:
Sr1 0.000 0.500 0.246
Mg1 0.000 0.000 0.500
Ge1 0.000 0.500 0.876
Ge2 0.500 0.500 0.500
Ir1 0.000 0.000 0.000
Ir2 0.000 0.500 0.639
Ir3 0.500 0.500 0.000

Summary:
For the formation energy, the calculation gives -0.58 eV/atom. Its uncorrected energy is -6.00 eV/atom. The value obtained for the total magnetic moment is 0.000 μB/f.u.

***

# 10
Below is SrMg2GeIr after structural relaxation, with properties calculated at the PBE level.

Cell lengths 5.075, 5.075, 4.785 Å; angles 90.00, 90.00, 90.00 degrees
Space group P4/mmm (No. 123)
Unique sites:
Sr1 0.000 0.000 0.000
Mg1 0.000 0.500 0.500
Ge1 0.500 0.500 0.000
Ir1 0.500 0.500 0.500

Summary:
For the formation energy, the calculation gives -0.31 eV/atom. Its uncorrected energy is -3.98 eV/atom. The value obtained for the total magnetic moment is 0.000 μB/f.u.

***

# 11
Below is MgGe2TeIr after structural relaxation, with properties calculated at the PBE level.

Cell lengths 5.412, 5.412, 4.882 Å; angles 90.00, 90.00, 90.00 degrees
Space group P4/mmm (No. 123)
Unique sites:
Mg1 0.000 0.000 0.000
Ge1 0.000 0.500 0.500
Te1 0.500 0.500 0.500
Ir1 0.500 0.500 0.000

Summary:
The calculation puts the uncorrected formation energy at 5.1 eV/f.u. Its uncorrected energy is -3.54 eV/atom. The value obtained for the total magnetic moment is 0.000 μB/f.u.

***

# 12
Below is Mg2GeTeIr after structural relaxation, with properties calculated at the PBE level.

Cell lengths 5.023, 5.023, 4.659 Å; angles 90.00, 90.00, 90.00 degrees
Space group P4/mmm (No. 123)
Unique sites:
Mg1 0.000 0.500 0.000
Ge1 0.000 0.000 0.000
Te1 0.500 0.500 0.500
Ir1 0.000 0.000 0.500

Summary:
The calculation puts the uncorrected formation energy at 1.4 eV/f.u. Its uncorrected energy is -3.69 eV/atom. The value obtained for the total magnetic moment is 0.000 μB/f.u.